Run w
Below is a relaxed structure of LaGaBi, with properties calculated at the GGA-PBE level.

a b c (Å): 4.315 4.869 4.869
angles (deg): 120.00 90.00 90.00
Sites, in units of the cell vectors:
Bi 0.760 0.667 0.333
La 0.297 0.333 0.667
Ga 0.943 0.000 0.000

Values from the calculation:
- Space-group type: P3m1 (156)
- DOS at the Fermi energy: 0.785 states/eV per atom

---

Run x
Below is a relaxed structure of LaGaBi, with properties calculated at the GGA-PBE level.

a b c (Å): 6.566 6.321 9.003
angles (deg): 70.10 90.00 90.00
Sites, in units of the cell vectors:
Ga 0.000 0.250 0.750
Ga 0.000 0.750 0.250
Ga 0.500 0.750 0.250
Ga 0.500 0.250 0.750
Bi 0.250 0.713 0.571
Bi 0.250 0.213 0.071
Bi 0.750 0.287 0.429
Bi 0.750 0.787 0.929
La 0.250 0.282 0.427
La 0.750 0.718 0.573
La 0.750 0.218 0.073
La 0.250 0.782 0.927

Values from the calculation:
- Space-group type: Cmcm (63)
- DOS at the Fermi energy: 0.536 states/eV per atom

---

Tell me which of them is the least stable. Sure, it is run w.

---

Run w
Below is a relaxed structure of La5GaBi2, with properties calculated at the GGA-PBE level.

a b c (Å): 7.345 7.345 6.947
angles (deg): 121.80 121.81 90.18
Sites, in units of the cell vectors:
La 0.745 0.205 0.950
La 0.240 0.240 0.938
La 0.205 0.745 0.950
La 0.700 0.700 0.940
La 0.722 0.722 0.444
Ga 0.222 0.222 0.444
Bi 0.222 0.722 0.445
Bi 0.722 0.222 0.445

Values from the calculation:
- Space-group type: Fmm2 (42)
- DOS at the Fermi energy: 1.109 states/eV per atom

---

Run x
Below is a relaxed structure of La5GaBi2, with properties calculated at the GGA-PBE level.

a b c (Å): 4.844 8.548 13.018
angles (deg): 90.00 90.00 90.00
Sites, in units of the cell vectors:
La 0.500 0.801 0.938
La 0.000 0.500 0.000
La 0.000 0.000 0.500
La 0.500 0.199 0.062
La 0.000 0.852 0.211
La 0.000 0.148 0.789
La 0.000 0.352 0.289
La 0.500 0.699 0.438
La 0.000 0.648 0.711
La 0.500 0.301 0.562
Bi 0.500 0.421 0.825
Bi 0.500 0.579 0.175
Bi 0.500 0.079 0.325
Bi 0.500 0.921 0.675
Ga 0.000 0.000 0.000
Ga 0.000 0.500 0.500

Values from the calculation:
- Space-group type: Pbam (55)
- DOS at the Fermi energy: 1.470 states/eV per atom

---

Tell me which of them is the least stable. Sure, it is run w.

---

Run w
Below is a relaxed structure of LaGaTcBi2, with properties calculated at the GGA-PBE level.

a b c (Å): 5.546 5.677 5.546
angles (deg): 90.00 90.00 90.00
Sites, in units of the cell vectors:
La 0.000 0.500 0.000
Ga 0.000 0.000 0.000
Tc 0.500 0.500 0.500
Bi 0.500 0.000 0.000
Bi 0.000 0.000 0.500

Values from the calculation:
- Space-group type: P4/mmm (123)
- DOS at the Fermi energy: 1.101 states/eV per atom

---

Run x
Below is a relaxed structure of LaGaTcBi2, with properties calculated at the GGA-PBE level.

a b c (Å): 5.491 4.732 5.491
angles (deg): 90.00 90.00 90.00
Sites, in units of the cell vectors:
Ga 0.000 0.000 0.000
Bi 0.000 0.000 0.500
Bi 0.500 0.000 0.000
La 0.500 0.500 0.500
Tc 0.000 0.500 0.000

Values from the calculation:
- Space-group type: P4/mmm (123)
- DOS at the Fermi energy: 0.805 states/eV per atom

---

Tell me which of them is the least stable. Sure, it is run w.

---

Run w
Below is a relaxed structure of Li3GaBi, with properties calculated at the GGA-PBE level.

a b c (Å): 4.805 4.805 4.805
angles (deg): 90.00 90.00 90.00
Sites, in units of the cell vectors:
Ga 0.000 0.000 0.000
Bi 0.500 0.500 0.500
Li 0.500 0.000 0.000
Li 0.000 0.500 0.000
Li 0.000 0.000 0.500

Values from the calculation:
- Space-group type: Pm-3m (221)
- DOS at the Fermi energy: 0.656 states/eV per atom

---

Run x
Below is a relaxed structure of Li3GaBi, with properties calculated at the GGA-PBE level.

a b c (Å): 6.074 8.862 7.527
angles (deg): 106.04 90.00 90.00
Sites, in units of the cell vectors:
Li 0.406 0.769 0.760
Li 0.837 0.927 0.141
Li 0.594 0.231 0.240
Li 0.390 0.139 0.550
Li 0.890 0.361 0.950
Li 0.110 0.639 0.050
Li 0.163 0.073 0.859
Li 0.663 0.427 0.641
Li 0.610 0.861 0.450
Li 0.906 0.731 0.740
Li 0.337 0.573 0.359
Li 0.094 0.269 0.260
Ga 0.382 0.370 0.995
Ga 0.118 0.870 0.495
Ga 0.882 0.130 0.505
Ga 0.618 0.630 0.005
Bi 0.328 0.928 0.164
Bi 0.828 0.572 0.336
Bi 0.172 0.428 0.664
Bi 0.672 0.072 0.836

Values from the calculation:
- Space-group type: P2_1/c (14)
- DOS at the Fermi energy: 0.160 states/eV per atom

---

Tell me which of them is the least stable. Sure, it is run w.